No. 1
Sm4MgSe5 | Alexandria | GGA-PBE | relaxed; E = -5.469 eV/atom; space group = R-3m
1.0
-0.726 -3.592 -1.825
3.124 -2.298 -1.311
1.411 -9.839 14.216
Sm Mg Se
4 1 5
direct
0.900 0.900 0.300
0.298 0.298 0.106
0.702 0.702 0.894
0.100 0.100 0.700
0.500 0.500 0.500
0.401 0.401 0.796
0.000 0.000 0.000
0.599 0.599 0.204
0.804 0.804 0.588
0.196 0.196 0.412

***

No. 2
Sm2MgSe | Alexandria | GGA-PBE | relaxed; E = -4.160 eV/atom; space group = R-3m
1.0
-1.059 1.900 -3.194
-2.089 -1.793 -2.712
-9.664 3.045 2.679
Mg Se Sm
1 1 2
direct
0.000 0.000 0.000
0.500 0.500 0.500
0.109 0.109 0.674
0.891 0.891 0.326

***

No. 3
Sm2MgSe | Alexandria | GGA-PBE | relaxed; E = -4.375 eV/atom; space group = P4/mmm
1.0
3.763 0.000 0.000
0.000 3.763 0.000
0.000 0.000 7.299
Mg Se Sm
1 1 2
direct
0.500 0.500 0.500
0.500 0.500 0.000
0.000 0.000 0.763
0.000 0.000 0.237

***

No. 4
Sm3MgSe4 | Alexandria | GGA-PBE | relaxed; E = -5.320 eV/atom; space group = Cmmm
1.0
4.053 0.000 0.000
0.000 6.583 -2.870
0.000 0.612 7.156
Mg Se Sm
1 4 3
direct
0.500 0.000 0.000
0.000 0.231 0.231
0.500 0.761 0.239
0.000 0.769 0.769
0.500 0.239 0.761
0.000 0.000 0.500
0.500 0.500 0.500
0.000 0.500 0.000

***

No. 5
SmMgSe3 | Alexandria | GGA-PBE | relaxed; E = -4.576 eV/atom; space group = R-3
1.0
1.405 -1.862 -6.989
-4.708 -4.145 -3.866
-3.905 2.841 -5.565
Sm Mg Se
2 2 6
direct
0.352 0.352 0.352
0.648 0.648 0.648
0.153 0.153 0.153
0.847 0.847 0.847
0.951 0.566 0.226
0.049 0.434 0.774
0.566 0.226 0.951
0.434 0.774 0.049
0.226 0.951 0.566
0.774 0.049 0.434

***

No. 6
Sm3MgSe4 | Alexandria | GGA-PBE | relaxed; E = -5.348 eV/atom; space group = R-3m
1.0
4.060 0.000 0.000
2.030 3.516 0.000
2.030 1.172 13.825
Sm Mg Se
3 1 4
direct
0.750 0.750 0.751
0.500 0.500 0.500
0.250 0.250 0.249
0.000 0.000 0.000
0.630 0.630 0.110
0.876 0.876 0.372
0.370 0.370 0.890
0.124 0.124 0.628

***

No. 7
Sm4MgSe7 | Alexandria | GGA-PBE | relaxed; E = -5.494 eV/atom; space group = Cm
1.0
4.059 0.000 0.000
-2.029 6.467 -1.765
0.000 -0.051 12.254
Sm Mg Se
4 1 7
direct
0.687 0.373 0.785
0.302 0.604 0.194
0.994 0.988 0.993
0.118 0.235 0.434
0.887 0.774 0.577
0.749 0.498 0.361
0.274 0.549 0.647
0.332 0.663 0.946
0.656 0.312 0.050
0.031 0.062 0.775
0.961 0.922 0.217
0.510 0.019 0.522

***

No. 8
SmMgSe2 | Alexandria | GGA-PBE | relaxed; E = -4.560 eV/atom; space group = P3m1
1.0
4.251 0.000 0.000
-2.125 3.681 0.000
0.000 0.000 7.863
Sm Mg Se
1 1 2
direct
0.667 0.333 0.525
0.000 0.000 0.001
0.667 0.333 0.892
0.000 0.000 0.332